(1)
Density functional theory data (GGA-PBE) for a geometry-optimized Ag2GeBr structure.

Cell lengths 6.5339, 6.5339, 6.5339 Å; angles 116.21, 116.21, 96.70 degrees
Closest atoms and distances in Å follow each position.
Fractional coordinates of all 8 atoms:
Ag (0.1001, 0.6250, 0.9751)  2 Ge 2.56, 2 Br 2.79
Ag (0.3750, 0.3501, 0.4751)  2 Ge 2.56, 2 Br 2.79
Ag (0.6499, 0.1250, 0.0249)  2 Ge 2.56, 2 Br 2.79
Ag (0.8750, 0.8999, 0.5249)  2 Ge 2.56, 2 Br 2.79
Ge (0.0000, 0.0000, 0.0000)  4 Ag 2.56
Ge (0.7500, 0.2500, 0.5000)  4 Ag 2.56
Br (0.2500, 0.7500, 0.5000)  4 Ag 2.79
Br (0.5000, 0.5000, 0.0000)  4 Ag 2.79

The calculation puts the density of states at the Fermi level at 0.209 states/eV/atom. The value obtained for the offset from the most stable computed form is 0 meV/atom. For the density, the calculation gives 5.908 Mg/m³. The formation energy from raw total energies is 0.20 eV/atom.

=====

(2)
Density functional theory data (GGA-PBE) for a geometry-optimized Ag2Ge3Br8 structure.

Cell lengths 8.3246, 8.3246, 7.0670 Å; angles 92.79, 92.79, 59.88 degrees
Closest atoms and distances in Å follow each position.
Fractional coordinates of all 13 atoms:
Ag (0.2135, 0.2135, 0.3342)  4 Br 2.63-2.92
Ag (0.7865, 0.7865, 0.6658)  4 Br 2.63-2.92
Ge (0.0000, 0.0000, 0.0000)  6 Br 2.85-2.86
Ge (0.2543, 0.7457, 0.5000)  6 Br 2.79-2.95
Ge (0.7457, 0.2543, 0.5000)  6 Br 2.79-2.95
Br (0.1160, 0.1160, 0.6846)  3 Ge 2.86-2.95, 1 Ag 2.92
Br (0.1362, 0.6439, 0.8173)  1 Ag 2.72, 2 Ge 2.82-2.85
Br (0.3561, 0.8638, 0.1827)  1 Ag 2.72, 2 Ge 2.82-2.85
Br (0.3952, 0.3952, 0.3245)  1 Ag 2.63, 2 Ge 2.79
Br (0.6048, 0.6048, 0.6755)  1 Ag 2.63, 2 Ge 2.79
Br (0.6439, 0.1362, 0.8173)  1 Ag 2.72, 2 Ge 2.82-2.85
Br (0.8638, 0.3561, 0.1827)  1 Ag 2.72, 2 Ge 2.82-2.85
Br (0.8840, 0.8840, 0.3154)  3 Ge 2.86-2.95, 1 Ag 2.92

The calculation puts the density of states at the Fermi level at 0.000 states/eV/atom. For the density, the calculation gives 4.212 Mg/m³. The formation energy from raw total energies is -0.47 eV/atom.

=====

(3)
Density functional theory data (GGA-PBE) for a geometry-optimized Ag3GeBr6 structure.

Cell lengths 7.1720, 7.0572, 12.9301 Å; angles 90.00, 122.78, 90.00 degrees
Closest atoms and distances in Å follow each position.
Fractional coordinates of all 20 atoms:
Ag (0.0000, 0.0000, 0.0000)  4 Br 2.70-2.86
Ag (0.0000, 0.5000, 0.5000)  4 Br 2.70-2.86
Ag (0.2253, 0.0211, 0.7443)  4 Br 2.74-2.79
Ag (0.2253, 0.4789, 0.2443)  4 Br 2.74-2.79
Ag (0.7747, 0.5211, 0.7557)  4 Br 2.74-2.79
Ag (0.7747, 0.9789, 0.2557)  4 Br 2.74-2.79
Ge (0.5000, 0.0000, 0.5000)  6 Br 2.69-2.77
Ge (0.5000, 0.5000, 0.0000)  6 Br 2.69-2.77
Br (0.1532, 0.0975, 0.2662)  1 Ge 2.77, 3 Ag 2.77-3.07
Br (0.1532, 0.4025, 0.7662)  1 Ge 2.77, 3 Ag 2.77-3.07
Br (0.2339, 0.6750, 0.0597)  2 Ag 2.70-2.79, 1 Ge 2.71
Br (0.2339, 0.8250, 0.5597)  2 Ag 2.70-2.79, 1 Ge 2.71
Br (0.4142, 0.1787, 0.0782)  1 Ge 2.69, 2 Ag 2.74-2.86
Br (0.4142, 0.3213, 0.5782)  1 Ge 2.69, 2 Ag 2.74-2.86
Br (0.5858, 0.6787, 0.4218)  1 Ge 2.69, 2 Ag 2.74-2.86
Br (0.5858, 0.8213, 0.9218)  1 Ge 2.69, 2 Ag 2.74-2.86
Br (0.7661, 0.1750, 0.4403)  2 Ag 2.70-2.79, 1 Ge 2.71
Br (0.7661, 0.3250, 0.9403)  2 Ag 2.70-2.79, 1 Ge 2.71
Br (0.8468, 0.5975, 0.2338)  1 Ge 2.77, 3 Ag 2.77-3.07
Br (0.8468, 0.9025, 0.7338)  1 Ge 2.77, 3 Ag 2.77-3.07

The calculation puts the density of states at the Fermi level at 0.437 states/eV/atom. For the density, the calculation gives 5.285 Mg/m³. The formation energy from raw total energies is -0.34 eV/atom.

=====

(4)
Density functional theory data (GGA-PBE) for a geometry-optimized Ag2Ge2Br7 structure.

Cell lengths 7.9585, 7.9585, 7.2950 Å; angles 111.24, 111.24, 86.21 degrees
Closest atoms and distances in Å follow each position.
Fractional coordinates of all 11 atoms:
Ag (0.1907, 0.8093, 0.0000)  4 Br 2.68-2.80
Ag (0.8093, 0.1907, 0.0000)  4 Br 2.68-2.80
Ge (0.3009, 0.3009, 0.5950)  4 Br 2.53-2.72
Ge (0.6991, 0.6991, 0.4050)  4 Br 2.53-2.72
Br (0.0587, 0.0587, 0.2909)  1 Ge 2.58, 2 Ag 2.80
Br (0.1019, 0.4529, 0.8010)  1 Ge 2.53, 1 Ag 2.68
Br (0.4529, 0.1019, 0.8010)  1 Ge 2.53, 1 Ag 2.68
Br (0.5000, 0.5000, 0.5000)  2 Ge 2.72
Br (0.5471, 0.8981, 0.1990)  1 Ge 2.53, 1 Ag 2.68
Br (0.8981, 0.5471, 0.1990)  1 Ge 2.53, 1 Ag 2.68
Br (0.9413, 0.9413, 0.7091)  1 Ge 2.58, 2 Ag 2.80

The calculation puts the density of states at the Fermi level at 0.460 states/eV/atom. For the density, the calculation gives 3.818 Mg/m³. The formation energy from raw total energies is -0.40 eV/atom.